Er2TmZn3Cu3 after structural relaxation. Source: OQMD, functional PBE.

It has space group Amm2 (No. 38), with a = 3.8521 Å, b = 12.1390 Å, c = 7.0052 Å, α = 90.00°, β = 90.00° and γ = 90.00°. The inequivalent atoms are Er at (0.0000, 0.2062, 0.0000), Tm at (0.0000, 0.0000, 0.3819), Zn at (0.5000, 0.0000, 0.0372), Zn at (0.5000, 0.1214, 0.6719), Cu at (0.0000, 0.0000, 0.7932) and Cu at (0.5000, 0.1659, 0.2942).

=====

ErUCu after structural relaxation. Source: OQMD, functional PBE.

The energy above the most stable polymorph in this dataset comes out at 0.0000 eV/atom.

It has space group F-43m (No. 216), with a = 6.5810 Å, b = 6.5810 Å, c = 6.5810 Å, α = 90.00°, β = 90.00° and γ = 90.00°. The inequivalent atoms are Er at (0.0000, 0.0000, 0.0000), U at (0.0000, 0.0000, 0.5000) and Cu at (0.2500, 0.2500, 0.2500).

=====

ErCuW after structural relaxation. Source: OQMD, functional PBE.

It has space group F-43m (No. 216), with a = 6.4799 Å, b = 6.4799 Å, c = 6.4799 Å, α = 90.00°, β = 90.00° and γ = 90.00°. The inequivalent atoms are Er at (0.0000, 0.0000, 0.0000), Cu at (0.2500, 0.2500, 0.7500) and W at (0.2500, 0.2500, 0.2500).

=====

YErCu after structural relaxation. Source: OQMD, functional PBE.

It has space group F-43m (No. 216), with a = 6.7444 Å, b = 6.7444 Å, c = 6.7444 Å, α = 90.00°, β = 90.00° and γ = 90.00°. The inequivalent atoms are Y at (0.0000, 0.0000, 0.0000), Er at (0.2500, 0.2500, 0.7500) and Cu at (0.2500, 0.2500, 0.2500).

=====

YErCu2 after structural relaxation. Source: OQMD, functional PBE.

The energy above the most stable polymorph in this dataset comes out at 0.0000 eV/atom.

It has space group Pmc2_1 (No. 26), with a = 4.4293 Å, b = 5.3863 Å, c = 7.1082 Å, α = 90.00°, β = 90.00° and γ = 90.00°. The inequivalent atoms are Y at (0.0000, 0.1180, 0.0000), Er at (0.5000, 0.3824, 0.3618), Cu at (0.0000, 0.3777, 0.6461) and Cu at (0.5000, 0.1267, 0.7144).

=====

YErCu4 after structural relaxation. Source: OQMD, functional PBE.

It has space group Imm2 (No. 44), with a = 4.2533 Å, b = 6.7630 Å, c = 7.3383 Å, α = 90.00°, β = 90.00° and γ = 90.00°. The inequivalent atoms are Y at (0.0000, 0.0000, 0.0000), Er at (0.0000, 0.5000, 0.0830), Cu at (0.0000, 0.2026, 0.3778) and Cu at (0.0000, 0.2959, 0.7073).

=====

Number 1: ΔE_f -3.14 eV/f.u.. Number 2: ΔE_f 1.94 eV/f.u.. Number 3: ΔE_f 4.77 eV/f.u.. Number 4: ΔE_f 2.26 eV/f.u.. Number 5: ΔE_f -1.07 eV/f.u.. Number 6: ΔE_f -1.63 eV/f.u..